#one
Below is ZnTeMo after structural relaxation, with properties calculated at the PBEsol level.

Its symmetry is P-6m2, No. 187.

Unit cell a=4.524 b=4.524 c=3.131 alpha=90.00 beta=90.00 gamma=120.00
Element x y z (fractional)
Zn  0.000  0.000  0.000
Te  0.667  0.333  0.500
Mo  0.333  0.667  0.500



#two
Below is ZnTeMo after structural relaxation, with properties calculated at the PBEsol level.

Its symmetry is I4mm, No. 107.

Unit cell a=3.415 b=3.415 c=8.623 alpha=90.00 beta=90.00 gamma=90.00
Element x y z (fractional)
Zn  0.000  0.000  0.000
Zn  0.500  0.500  0.500
Te  0.000  0.000  0.320
Te  0.500  0.500  0.820
Mo  0.000  0.000  0.663
Mo  0.500  0.500  0.163



Here is how they stack up, most stable first: #two, #one.